An optimized crystal structure of LaTbYN3. Source: Alexandria via LeMat-Bulk, functional PBE.

Computed properties:
Volume: 197 Å³ per cell
Crystal system: monoclinic
Raw formation energy: -135.47 kJ per mole of atoms

abc: 6.114 3.581 9.190
angles: 90.00 101.88 90.00
Space group P2_1/m (No. 11)
Symmetry-distinct sites (fractional):
La 0.151 0.250 0.199
Tb 0.271 0.750 0.543
Y 0.355 0.250 0.859
N 0.038 0.250 0.669
N 0.257 0.750 0.987
N 0.472 0.750 0.349

An optimized crystal structure of Cs4NdSm3Se8. Source: Alexandria via LeMat-Bulk, functional PBE.

Computed properties:
Volume: 1664 Å³ per cell
Crystal system: trigonal
Raw formation energy: -166.91 kJ per mole of atoms

abc: 8.7307 8.7307 25.2053
angles: 90.00 90.00 120.00
Space group R-3m (No. 166, hexagonal axes)
Symmetry-distinct sites (fractional):
Cs 0.0000 0.0000 0.0000
Cs 0.0000 0.5000 0.0000
Nd 0.0000 0.0000 0.5000
Sm 0.0000 0.5000 0.5000
Se 0.0000 0.0000 0.2295
Se 0.0025 0.5013 0.7702

Please write out number 2 again, unchanged.
An optimized crystal structure of Cs4NdSm3Se8. Source: Alexandria via LeMat-Bulk, functional PBE.

Computed properties:
Volume: 1664 Å³ per cell
Crystal system: trigonal
Raw formation energy: -166.91 kJ per mole of atoms

abc: 8.7307 8.7307 25.2053
angles: 90.00 90.00 120.00
Space group R-3m (No. 166, hexagonal axes)
Symmetry-distinct sites (fractional):
Cs 0.0000 0.0000 0.0000
Cs 0.0000 0.5000 0.0000
Nd 0.0000 0.0000 0.5000
Sm 0.0000 0.5000 0.5000
Se 0.0000 0.0000 0.2295
Se 0.0025 0.5013 0.7702